CaRe2Os: relaxed, GGA-PBE.

The space group is Immm (No. 71) and the conventional cell measures 2.804, 4.763 and 10.460 Å, with angles of 90.00, 90.00 and 90.00 degrees. The distinct sites, in fractional coordinates, are Ca at (0.000, 0.000, 0.000), Re at (0.000, 0.500, 0.213) and Os at (0.000, 0.000, 0.500).



CaRe2Os: relaxed, GGA-PBE.

The space group is Fm-3m (No. 225) and the conventional cell measures 6.368, 6.368 and 6.368 Å, with angles of 90.00, 90.00 and 90.00 degrees. The distinct sites, in fractional coordinates, are Ca at (0.000, 0.000, 0.000), Re at (0.250, 0.250, 0.250) and Os at (0.000, 0.000, 0.500).



CaReOs2: relaxed, GGA-PBE.

The space group is Pmm2 (No. 25) and the conventional cell measures 2.787, 3.832 and 6.746 Å, with angles of 90.00, 90.00 and 90.00 degrees. The distinct sites, in fractional coordinates, are Ca at (0.000, 0.000, 0.000), Re at (0.500, 0.500, 0.670), Os at (0.000, 0.000, 0.498) and Os at (0.500, 0.500, 0.291).



CaReOs2: relaxed, GGA-PBE.

The space group is P2/m (No. 10) and the conventional cell measures 2.803, 4.328 and 5.836 Å, with angles of 90.00, 103.31 and 90.00 degrees. The distinct sites, in fractional coordinates, are Ca at (0.000, 0.000, 0.000), Re at (0.500, 0.000, 0.500) and Os at (0.318, 0.500, 0.708).



The following calculated density values (in g cm⁻³) correspond, in order, to the records above: 14.326; 15.506; 13.985; 14.626.
The following energy above the most stable polymorph in this dataset values (in meV/atom) correspond, in order, to the records above: 37; 330; 202; 224.
The following DFT formation energy values (in eV per atom) correspond, in order, to the records above: 0.479; 0.773; 0.584; 0.607.